1.
VASP calculation (GGA-PBE) on BW2Br after structural relaxation.

Properties
Size of the total moment   0.00 μB/f.u.
E_form (uncorrected)   1.1134 eV per atom
Polymorph energy (0 for the lowest one)   0.000 eV per atom
Theoretical density   10.750 Mg/m³

Cell: 7.6072 7.6072 7.6072 Å, 145.35 145.35 49.81°
Element x y z (fractional)
B (0.0000, 0.0000, 0.0000)
B (0.7500, 0.2500, 0.5000)
W (0.0318, 0.6250, 0.9068)
W (0.3750, 0.2818, 0.4068)
W (0.7182, 0.1250, 0.0932)
W (0.8750, 0.9682, 0.5932)
Br (0.2500, 0.7500, 0.5000)
Br (0.5000, 0.5000, 0.0000)


2.
VASP calculation (GGA-PBE) on BW2Br after structural relaxation.

Properties
Size of the total moment   0.00 μB/f.u.
E_form (uncorrected)   1.2192 eV per atom
Polymorph energy (0 for the lowest one)   0.106 eV per atom
Theoretical density   13.956 Mg/m³

Cell: 4.2568 4.2568 4.2568 Å, 60.00 60.00 60.00°
Element x y z (fractional)
B (0.0000, 0.0000, 0.0000)
W (0.2500, 0.2500, 0.2500)
W (0.7500, 0.7500, 0.7500)
Br (0.5000, 0.5000, 0.5000)


3.
VASP calculation (GGA-PBE) on B3WBr after structural relaxation.

Properties
Size of the total moment   1.54 μB/f.u.
E_form (uncorrected)   1.7575 eV per atom
Polymorph energy (0 for the lowest one)   0.000 eV per atom
Theoretical density   5.920 Mg/m³

Cell: 4.3634 4.3634 4.3634 Å, 90.00 90.00 90.00°
Element x y z (fractional)
B (0.0000, 0.0000, 0.5000)
B (0.0000, 0.5000, 0.0000)
B (0.5000, 0.0000, 0.0000)
W (0.0000, 0.0000, 0.0000)
Br (0.5000, 0.5000, 0.5000)


4.
VASP calculation (GGA-PBE) on B2WBr after structural relaxation.

Properties
Size of the total moment   0.00 μB/f.u.
E_form (uncorrected)   2.0069 eV per atom
Polymorph energy (0 for the lowest one)   0.660 eV per atom
Theoretical density   9.592 Mg/m³

Cell: 4.1187 4.1187 4.1187 Å, 60.00 60.00 60.00°
Element x y z (fractional)
B (0.2500, 0.2500, 0.2500)
B (0.7500, 0.7500, 0.7500)
W (0.0000, 0.0000, 0.0000)
Br (0.5000, 0.5000, 0.5000)


5.
VASP calculation (GGA-PBE) on B2WBr after structural relaxation.

Properties
Size of the total moment   0.00 μB/f.u.
E_form (uncorrected)   1.3465 eV per atom
Polymorph energy (0 for the lowest one)   0.000 eV per atom
Theoretical density   6.739 Mg/m³

Cell: 6.1916 6.1916 6.1916 Å, 128.71 128.71 75.48°
Element x y z (fractional)
B (0.0755, 0.6250, 0.9505)
B (0.3750, 0.3255, 0.4505)
B (0.6745, 0.1250, 0.0495)
B (0.8750, 0.9245, 0.5495)
W (0.0000, 0.0000, 0.0000)
W (0.7500, 0.2500, 0.5000)
Br (0.2500, 0.7500, 0.5000)
Br (0.5000, 0.5000, 0.0000)


6.
VASP calculation (GGA-PBE) on ZrB2WBr after structural relaxation.

Properties
Size of the total moment   0.00 μB/f.u.
E_form (uncorrected)   2.2659 eV per atom
Theoretical density   7.386 Mg/m³

Cell: 4.1252 4.1252 4.9757 Å, 90.00 90.00 90.00°
Element x y z (fractional)
Zr (0.0000, 0.0000, 0.0000)
B (0.0000, 0.5000, 0.5000)
B (0.5000, 0.0000, 0.5000)
W (0.5000, 0.5000, 0.0000)
Br (0.0000, 0.0000, 0.5000)


7.
VASP calculation (GGA-PBE) on YBBr2 after structural relaxation.

Properties
Size of the total moment   0.00 μB/f.u.
E_form (uncorrected)   0.3927 eV per atom
Polymorph energy (0 for the lowest one)   0.526 eV per atom
Theoretical density   3.902 Mg/m³

Cell: 8.9271 8.9271 8.9271 Å, 24.84 24.84 24.84°
Element x y z (fractional)
Y (0.0000, 0.0000, 0.0000)
B (0.5000, 0.5000, 0.5000)
Br (0.1072, 0.1072, 0.1072)
Br (0.8928, 0.8928, 0.8928)


8.
VASP calculation (GGA-PBE) on Y7BBr12 after structural relaxation.

Properties
Size of the total moment   1.10 μB/f.u.
E_form (uncorrected)   -1.5959 eV per atom
Theoretical density   4.372 Mg/m³

Cell: 9.0434 9.0434 9.0434 Å, 107.66 107.66 107.66°
Element x y z (fractional)
Y (0.0000, 0.0000, 0.0000)
Y (0.1919, 0.4674, 0.3955)
Y (0.3955, 0.1919, 0.4674)
Y (0.4674, 0.3955, 0.1919)
Y (0.5326, 0.6045, 0.8081)
Y (0.6045, 0.8081, 0.5326)
Y (0.8081, 0.5326, 0.6045)
B (0.5000, 0.5000, 0.5000)
Br (0.0300, 0.1108, 0.3439)
Br (0.1108, 0.3439, 0.0300)
Br (0.1863, 0.5773, 0.7261)
Br (0.2739, 0.8137, 0.4227)
Br (0.3439, 0.0300, 0.1108)
Br (0.4227, 0.2739, 0.8137)
Br (0.5773, 0.7261, 0.1863)
Br (0.6561, 0.9700, 0.8892)
Br (0.7261, 0.1863, 0.5773)
Br (0.8137, 0.4227, 0.2739)
Br (0.8892, 0.6561, 0.9700)
Br (0.9700, 0.8892, 0.6561)


9.
VASP calculation (GGA-PBE) on YB2Br2 after structural relaxation.

Properties
Size of the total moment   0.00 μB/f.u.
E_form (uncorrected)   0.2350 eV per atom
Polymorph energy (0 for the lowest one)   0.000 eV per atom
Theoretical density   4.706 Mg/m³

Cell: 6.4997 6.4997 4.5159 Å, 90.00 90.00 90.00°
Element x y z (fractional)
Y (0.0000, 0.0000, 0.0000)
Y (0.5000, 0.5000, 0.0000)
B (0.0876, 0.4124, 0.0000)
B (0.4124, 0.9124, 0.0000)
B (0.5876, 0.0876, 0.0000)
B (0.9124, 0.5876, 0.0000)
Br (0.1773, 0.3227, 0.5000)
Br (0.3227, 0.8227, 0.5000)
Br (0.6773, 0.1773, 0.5000)
Br (0.8227, 0.6773, 0.5000)


10.
VASP calculation (GGA-PBE) on Y4BBr5 after structural relaxation.

Properties
Size of the total moment   0.00 μB/f.u.
E_form (uncorrected)   -1.4203 eV per atom
Theoretical density   4.512 Mg/m³

Cell: 9.2025 9.2025 8.1960 Å, 102.52 102.52 24.62°
Element x y z (fractional)
Y (0.0007, 0.0007, 0.2922)
Y (0.3577, 0.3577, 0.4249)
Y (0.6423, 0.6423, 0.5751)
Y (0.9993, 0.9993, 0.7078)
B (0.5000, 0.5000, 0.5000)
Br (0.1655, 0.1655, 0.8375)
Br (0.1722, 0.1722, 0.3333)
Br (0.5000, 0.5000, 0.0000)
Br (0.8278, 0.8278, 0.6667)
Br (0.8345, 0.8345, 0.1625)


11.
VASP calculation (GGA-PBE) on YBBr2 after structural relaxation.

Properties
Size of the total moment   1.48 μB/f.u.
E_form (uncorrected)   0.1439 eV per atom
Polymorph energy (0 for the lowest one)   0.277 eV per atom
Theoretical density   4.912 Mg/m³

Cell: 4.9878 4.9878 4.9878 Å, 60.00 60.00 60.00°
Element x y z (fractional)
Y (0.0000, 0.0000, 0.0000)
B (0.5000, 0.5000, 0.5000)
Br (0.2500, 0.2500, 0.2500)
Br (0.7500, 0.7500, 0.7500)


12.
VASP calculation (GGA-PBE) on YBBr3 after structural relaxation.

Properties
Size of the total moment   0.96 μB/f.u.
E_form (uncorrected)   -0.1856 eV per atom
Theoretical density   3.237 Mg/m³

Cell: 5.5841 5.5841 5.5841 Å, 90.00 90.00 90.00°
Element x y z (fractional)
Y (0.0000, 0.0000, 0.0000)
B (0.5000, 0.5000, 0.5000)
Br (0.0000, 0.0000, 0.5000)
Br (0.0000, 0.5000, 0.0000)
Br (0.5000, 0.0000, 0.0000)


Which formula does entry 3 have? B3WBr